# PBE-GGA Ba2TlGe, relaxed
# * M_tot: 0.00 μB per formula unit
# * calculated formation energy: -0.088 eV/atom
# * calculated total energy: -2.796 eV per atom
# * density of states at the Fermi level: 1.551 states/eV/atom
data_Ba2TlGe
_cell_length_a 9.323
_cell_length_b 9.323
_cell_length_c 7.580
_cell_angle_alpha 90.00
_cell_angle_beta 90.00
_cell_angle_gamma 90.00
_space_group_name_H-M_alt 'I -4 2 d'
_space_group_IT_number 122
_space_group_name_Hall 'I -4 2bw'
loop_
_atom_site_label
_atom_site_type_symbol
_atom_site_fract_x
_atom_site_fract_y
_atom_site_fract_z
Ba1 Ba 0.217 0.250 0.125
Tl1 Tl 0.000 0.000 0.500
Ge1 Ge 0.000 0.000 0.000